A plane-wave DFT calculation with PBE-GGA was carried out for a relaxed structure of NiH4.

Results
Its space group is No. 70. The final energy comes out at -3.68 eV per atom. The size of the total moment is 0.00 Bohr magnetons per cell.

POSCAR file:
```
NiH4
1.0
0.0000 3.2712 2.5885
3.2534 0.0000 2.5885
3.2534 3.2712 0.0000
H Ni
8 2
Direct
0.7753 0.7792 0.0788
0.4655 0.4584 0.1822
0.7792 0.7753 0.3668
0.8832 0.1712 0.4708
0.1712 0.8832 0.4747
0.0678 0.3560 0.7845
0.3560 0.0678 0.7916
0.4584 0.4655 0.8940
0.4947 0.4947 0.5053
0.7447 0.7447 0.7553
```



A plane-wave DFT calculation with PBE-GGA was carried out for a relaxed structure of RbNa3As2Au2.

Results
Its space group is No. 6. The final energy comes out at -3.04 eV per atom.

POSCAR file:
```
RbNa3As2Au2
1.0
-4.9184 0.8859 2.9744
2.8647 -1.3084 5.1267
2.7044 5.4812 -0.1122
As Au Na Rb
2 2 3 1
Direct
0.2318 0.5000 0.2098
0.7570 0.0000 0.7916
0.5090 0.2562 0.5012
0.5090 0.7438 0.5012
0.6618 0.5000 0.0143
0.0316 0.5000 0.6740
0.3270 0.0000 0.9766
0.9728 0.0000 0.3311
```



A plane-wave DFT calculation with PBE-GGA was carried out for a relaxed structure of Li3Nd3SiGe2.

Results
Its space group is No. 189. The final energy comes out at -4.49 eV per atom. The size of the total moment is 0.00 Bohr magnetons per cell.

POSCAR file:
```
Li3Nd3SiGe2
1.0
7.2594 0.0000 0.0000
-3.6297 6.2868 0.0000
0.0000 0.0000 4.3578
Ge Li Nd Si
2 3 3 1
Direct
0.6667 0.3333 0.5000
0.3333 0.6667 0.5000
0.7687 0.0000 0.5000
0.2313 0.2313 0.5000
0.0000 0.7687 0.5000
0.4199 0.0000 0.0000
0.0000 0.4199 0.0000
0.5801 0.5801 0.0000
0.0000 0.0000 0.0000
```



A plane-wave DFT calculation with PBE-GGA was carried out for a relaxed structure of Tb2Fe6Si4Au.

Results
Its space group is No. 166. The final energy comes out at -6.54 eV per atom. The size of the total moment is 10.71 Bohr magnetons per cell.

POSCAR file:
```
Tb2Fe6Si4Au
1.0
3.2688 -1.8866 0.0000
3.2688 1.8866 0.0000
-2.1769 0.0000 17.7960
Au Fe Si Tb
1 6 4 2
Direct
0.0000 0.0000 0.0000
0.6925 0.6925 0.0773
0.0513 0.0513 0.1542
0.8173 0.8173 0.4516
0.1827 0.1827 0.5484
0.9487 0.9487 0.8458
0.3075 0.3075 0.9227
0.7353 0.7353 0.2060
0.1402 0.1402 0.4207
0.8598 0.8598 0.5793
0.2647 0.2647 0.7940
0.4374 0.4374 0.3122
0.5626 0.5626 0.6878
```



A plane-wave DFT calculation with PBE-GGA was carried out for a relaxed structure of Gd2DyIn3NiGe2.

Results
Its space group is No. 38. The final energy comes out at -4.72 eV per atom. The size of the total moment is 0.00 Bohr magnetons per cell.

POSCAR file:
```
Gd2DyIn3NiGe2
1.0
-2.5269 2.7718 -2.0220
-4.7266 -5.4078 -1.5064
-0.7156 3.8673 6.1957
Dy Gd Ge In Ni
1 2 2 3 1
Direct
0.0000 0.4021 0.4021
0.0000 0.9997 0.5969
0.0000 0.5969 0.9997
0.5000 0.6652 0.3338
0.5000 0.3338 0.6652
0.5000 0.2395 0.0004
0.5000 0.0004 0.2395
0.5000 0.7607 0.7607
0.0000 0.0017 0.0017
```



A plane-wave DFT calculation with PBE-GGA was carried out for a relaxed structure of TaP.

Results
Its space group is No. 109. The final energy comes out at -9.57 eV per atom. The size of the total moment is 0.00 Bohr magnetons per cell.

POSCAR file:
```
TaP
1.0
4.2849 2.4995 3.6497
1.7726 5.7487 1.3184
-4.5834 -4.0521 -0.7081
P Ta
2 2
Direct
0.9171 0.9171 0.0000
0.6671 0.1671 0.5000
0.4999 0.4999 0.0000
0.2499 0.7499 0.5000
```